[1]
# Re5Si3 | OQMD via LeMat-Bulk | PBE | relaxed
data_Re5Si3
_chemical_formula_sum 'Re20 Si12'
_cell_length_a 9.459
_cell_length_b 9.459
_cell_length_c 4.926
_cell_angle_alpha 90.00
_cell_angle_beta 90.00
_cell_angle_gamma 90.00
_space_group_name_H-M_alt 'I 4/m c m'
_space_group_IT_number 140
_space_group_name_Hall '-I 4 2c'
loop_
_atom_site_label
_atom_site_fract_x
_atom_site_fract_y
_atom_site_fract_z
Re1 0.000 0.500 0.250
Re2 0.073 0.224 0.000
Si1 0.000 0.000 0.250
Si2 0.171 0.329 0.500
# Crystal system = tetragonal
# Offset from the most stable computed form = 0 meV per atom

[2]
# Re2Si | OQMD via LeMat-Bulk | PBE | relaxed
data_Re2Si
_chemical_formula_sum 'Re16 Si8'
_cell_length_a 6.742
_cell_length_b 8.799
_cell_length_c 5.876
_cell_angle_alpha 90.00
_cell_angle_beta 97.92
_cell_angle_gamma 90.00
_space_group_name_H-M_alt 'P 1 21/c 1'
_space_group_IT_number 14
_space_group_name_Hall '-P 2ybc'
loop_
_atom_site_label
_atom_site_fract_x
_atom_site_fract_y
_atom_site_fract_z
Re1 0.019 0.005 0.292
Re2 0.112 0.226 0.994
Re3 0.243 0.728 0.808
Re4 0.360 0.030 0.654
Si1 0.316 0.519 0.553
Si2 0.424 0.202 0.323
# Crystal system = monoclinic
# Offset from the most stable computed form = 10 meV per atom

[3]
# ReSi7 | OQMD via LeMat-Bulk | PBE | relaxed
data_ReSi7
_chemical_formula_sum 'Re2 Si14'
_cell_length_a 4.773
_cell_length_b 5.597
_cell_length_c 9.676
_cell_angle_alpha 86.70
_cell_angle_beta 82.31
_cell_angle_gamma 79.87
_space_group_name_H-M_alt 'P -1'
_space_group_IT_number 2
_space_group_name_Hall '-P 1'
loop_
_atom_site_label
_atom_site_fract_x
_atom_site_fract_y
_atom_site_fract_z
Re1 0.002 0.058 0.211
Si1 0.082 0.731 0.395
Si2 0.176 0.770 0.016
Si3 0.187 0.305 0.372
Si4 0.293 0.340 0.068
Si5 0.336 0.874 0.563
Si6 0.385 0.572 0.767
Si7 0.438 0.143 0.817
# Final energy = -6.20 eV per atom
# Crystal system = triclinic

[4]
# Re5Si3 | OQMD via LeMat-Bulk | PBE | relaxed
data_Re5Si3
_chemical_formula_sum 'Re10 Si6'
_cell_length_a 7.1129
_cell_length_b 7.1129
_cell_length_c 5.0587
_cell_angle_alpha 90.00
_cell_angle_beta 90.00
_cell_angle_gamma 120.00
_space_group_name_H-M_alt 'P 63/m c m'
_space_group_IT_number 193
_space_group_name_Hall '-P 6c 2'
loop_
_atom_site_label
_atom_site_fract_x
_atom_site_fract_y
_atom_site_fract_z
Re1 0.0000 0.2330 0.2500
Re2 0.3333 0.6667 0.0000
Si1 0.0000 0.3951 0.7500
# Crystal system = hexagonal
# Offset from the most stable computed form = 32 meV per atom

[5]
# Re2Si | OQMD via LeMat-Bulk | PBE | relaxed
data_Re2Si
_chemical_formula_sum 'Re6 Si3'
_cell_length_a 7.1689
_cell_length_b 7.1689
_cell_length_c 2.8307
_cell_angle_alpha 90.00
_cell_angle_beta 90.00
_cell_angle_gamma 120.00
_space_group_name_H-M_alt 'P -6 2 m'
_space_group_IT_number 189
_space_group_name_Hall 'P -6 -2'
loop_
_atom_site_label
_atom_site_fract_x
_atom_site_fract_y
_atom_site_fract_z
Re1 0.0000 0.3105 0.0000
Re2 0.0000 0.6438 0.5000
Si1 0.0000 0.0000 0.5000
Si2 0.3333 0.6667 0.0000
# Crystal system = hexagonal
# Offset from the most stable computed form = 0 meV per atom

[6]
# Re3Si5 | OQMD via LeMat-Bulk | PBE | relaxed
data_Re3Si5
_chemical_formula_sum 'Re3 Si5'
_cell_length_a 3.146
_cell_length_b 3.146
_cell_length_c 10.745
_cell_angle_alpha 90.00
_cell_angle_beta 90.00
_cell_angle_gamma 90.00
_space_group_name_H-M_alt 'P 4/m m m'
_space_group_IT_number 123
_space_group_name_Hall '-P 4 2'
loop_
_atom_site_label
_atom_site_fract_x
_atom_site_fract_y
_atom_site_fract_z
Re1 0.000 0.000 0.000
Re2 0.500 0.500 0.357
Si1 0.000 0.000 0.250
Si2 0.000 0.000 0.500
Si3 0.500 0.500 0.123
# Final energy = -8.35 eV per atom
# Crystal system = tetragonal

[7]
# Re7Si | OQMD via LeMat-Bulk | PBE | relaxed
data_Re7Si
_chemical_formula_sum 'Re28 Si4'
_cell_length_a 2.842
_cell_length_b 10.291
_cell_length_c 15.909
_cell_angle_alpha 90.00
_cell_angle_beta 90.00
_cell_angle_gamma 90.00
_space_group_name_H-M_alt 'C m c m'
_space_group_IT_number 63
_space_group_name_Hall '-C 2c 2'
loop_
_atom_site_label
_atom_site_fract_x
_atom_site_fract_y
_atom_site_fract_z
Re1 0.000 0.017 0.115
Re2 0.000 0.239 0.645
Re3 0.000 0.360 0.010
Re4 0.000 0.426 0.250
Si1 0.000 0.140 0.250
# Final energy = -11.58 eV per atom
# Crystal system = orthorhombic

[8]
# Sm2Re3Si5 | OQMD via LeMat-Bulk | PBE | relaxed
data_Sm2Re3Si5
_chemical_formula_sum 'Sm8 Re12 Si20'
_cell_length_a 11.027
_cell_length_b 11.027
_cell_length_c 5.631
_cell_angle_alpha 90.00
_cell_angle_beta 90.00
_cell_angle_gamma 90.00
_space_group_name_H-M_alt 'P 4/m n c'
_space_group_IT_number 128
_space_group_name_Hall '-P 4 2n'
loop_
_atom_site_label
_atom_site_fract_x
_atom_site_fract_y
_atom_site_fract_z
Sm1 0.078 0.237 0.000
Re1 0.000 0.500 0.250
Re2 0.124 0.852 0.500
Si1 0.000 0.000 0.253
Si2 0.026 0.315 0.500
Si3 0.172 0.672 0.250
# Final energy = -7.95 eV per atom
# Crystal system = tetragonal

[9]
# SmReSi | OQMD via LeMat-Bulk | PBE | relaxed
data_SmReSi
_chemical_formula_sum 'Sm4 Re4 Si4'
_cell_length_a 6.609
_cell_length_b 6.609
_cell_length_c 6.609
_cell_angle_alpha 90.00
_cell_angle_beta 90.00
_cell_angle_gamma 90.00
_space_group_name_H-M_alt 'F -4 3 m'
_space_group_IT_number 216
_space_group_name_Hall 'F -4 2 3'
loop_
_atom_site_label
_atom_site_fract_x
_atom_site_fract_y
_atom_site_fract_z
Sm1 0.000 0.000 0.000
Re1 0.250 0.250 0.750
Si1 0.250 0.250 0.250
# Final energy = -6.12 eV per atom
# Crystal system = cubic

[10]
# SmReSi | OQMD via LeMat-Bulk | PBE | relaxed
data_SmReSi
_chemical_formula_sum 'Sm4 Re4 Si4'
_cell_length_a 6.301
_cell_length_b 6.301
_cell_length_c 6.301
_cell_angle_alpha 90.00
_cell_angle_beta 90.00
_cell_angle_gamma 90.00
_space_group_name_H-M_alt 'F -4 3 m'
_space_group_IT_number 216
_space_group_name_Hall 'F -4 2 3'
loop_
_atom_site_label
_atom_site_fract_x
_atom_site_fract_y
_atom_site_fract_z
Sm1 0.000 0.000 0.000
Re1 0.000 0.000 0.500
Si1 0.250 0.250 0.750
# Final energy = -7.27 eV per atom
# Crystal system = cubic

[11]
# TbRe4SiSn | OQMD via LeMat-Bulk | PBE | relaxed
data_TbRe4SiSn
_chemical_formula_sum 'Tb2 Re8 Si2 Sn2'
_cell_length_a 4.153
_cell_length_b 4.185
_cell_length_c 14.867
_cell_angle_alpha 90.00
_cell_angle_beta 90.00
_cell_angle_gamma 90.00
_space_group_name_H-M_alt 'A m m 2'
_space_group_IT_number 38
_space_group_name_Hall 'A 2 -2'
loop_
_atom_site_label
_atom_site_fract_x
_atom_site_fract_y
_atom_site_fract_z
Tb1 0.000 0.000 0.000
Re1 0.000 0.000 0.324
Re2 0.000 0.000 0.725
Re3 0.500 0.000 0.222
Re4 0.500 0.000 0.828
Si1 0.500 0.000 0.423
Sn1 0.500 0.000 0.599
# Final energy = -9.35 eV per atom
# Crystal system = orthorhombic

[12]
# Ta2ReSi | OQMD via LeMat-Bulk | PBE | relaxed
data_Ta2ReSi
_chemical_formula_sum 'Ta8 Re4 Si4'
_cell_length_a 6.326
_cell_length_b 6.326
_cell_length_c 6.326
_cell_angle_alpha 90.00
_cell_angle_beta 90.00
_cell_angle_gamma 90.00
_space_group_name_H-M_alt 'F -4 3 m'
_space_group_IT_number 216
_space_group_name_Hall 'F -4 2 3'
loop_
_atom_site_label
_atom_site_fract_x
_atom_site_fract_y
_atom_site_fract_z
Ta1 0.000 0.000 0.000
Ta2 0.250 0.250 0.250
Re1 0.250 0.250 0.750
Si1 0.000 0.000 0.500
# Final energy = -10.41 eV per atom
# Crystal system = cubic